Material: HfAl2Fe
Method: DFT, PBE
State: relaxed

Cell lengths 4.418, 4.418, 4.418 Å; angles 60.00, 60.00, 60.00 degrees
Element x y z (fractional)
Hf: 0.500 0.500 0.500
Fe: 0.000 0.000 0.000
Al: 0.250 0.250 0.250
Al: 0.750 0.750 0.750

* crystal system: cubic
* calculated formation energy: -0.090 eV per atom
* M_tot: 0.00 μB/cell
* space group: Fm-3m, No. 225
* VASP energy: -6.565 eV per atom
* V: 61.0 Å³/cell

Material: HfAlFe2
Method: DFT, PBE
State: relaxed

Cell lengths 6.571, 6.571, 5.408 Å; angles 52.59, 52.59, 90.00 degrees
Element x y z (fractional)
Fe: 0.875 0.852 0.750
Fe: 0.602 0.125 0.250
Fe: 0.375 0.398 0.750
Fe: 0.148 0.625 0.250
Al: 0.500 0.500 0.000
Al: 0.250 0.750 0.500
Hf: 0.750 0.250 0.500
Hf: 0.000 0.000 0.000

* crystal system: tetragonal
* calculated formation energy: 0.415 eV per atom
* M_tot: 0.00 μB/cell
* space group: I-42d, No. 122
* VASP energy: -7.240 eV per atom
* V: 119.5 Å³/cell

Material: HfAl2Fe
Method: DFT, PBE
State: relaxed

Cell lengths 4.082, 4.082, 5.024 Å; angles 66.03, 66.03, 60.00 degrees
Element x y z (fractional)
Al: 0.715 0.715 0.854
Al: 0.285 0.285 0.146
Fe: 0.000 0.000 0.000
Hf: 0.500 0.500 0.500

* crystal system: trigonal
* calculated formation energy: -0.181 eV per atom
* M_tot: 0.00 μB/cell
* space group: R-3m, No. 166
* VASP energy: -6.656 eV per atom
* V: 64.0 Å³/cell

Material: Hf3Al2Fe
Method: DFT, PBE
State: relaxed

Cell lengths 4.171, 8.862, 11.723 Å; angles 90.00, 90.00, 90.00 degrees
Element x y z (fractional)
Fe: 0.750 0.646 0.390
Fe: 0.250 0.146 0.110
Fe: 0.750 0.854 0.890
Fe: 0.250 0.354 0.610
Al: 0.750 0.236 0.975
Al: 0.250 0.736 0.525
Al: 0.250 0.764 0.025
Al: 0.250 0.398 0.819
Al: 0.750 0.898 0.681
Al: 0.750 0.264 0.475
Al: 0.250 0.102 0.319
Al: 0.750 0.602 0.181
Hf: 0.250 0.776 0.279
Hf: 0.750 0.926 0.428
Hf: 0.250 0.042 0.886
Hf: 0.750 0.224 0.721
Hf: 0.750 0.574 0.928
Hf: 0.750 0.276 0.221
Hf: 0.250 0.426 0.072
Hf: 0.750 0.542 0.614
Hf: 0.750 0.958 0.114
Hf: 0.250 0.724 0.779
Hf: 0.250 0.458 0.386
Hf: 0.250 0.074 0.572

* crystal system: orthorhombic
* calculated formation energy: -0.269 eV per atom
* M_tot: 0.00 μB/cell
* space group: Pnma, No. 62
* VASP energy: -7.904 eV per atom
* V: 433.3 Å³/cell